# 1
Below is ErZrAlFe after structural relaxation, with properties calculated at the PBE level.

POSCAR file:
```
ErZrAlFe
1.0
0.000 3.386 3.386
3.386 0.000 3.386
3.386 3.386 0.000
Er Zr Al Fe
1 1 1 1
Direct
0.000 0.000 0.000
0.500 0.500 0.500
0.750 0.750 0.750
0.250 0.250 0.250
```

Properties
Raw total energy   -6.465 eV per atom


# 2
Below is Er3Al2Ga4 after structural relaxation, with properties calculated at the PBE level.

POSCAR file:
```
Er3Al2Ga4
1.0
5.228 -2.210 0.000
5.228 2.210 0.000
-3.262 0.000 7.796
Er Al Ga
3 2 4
Direct
0.000 0.000 0.000
0.339 0.339 0.329
0.661 0.661 0.671
0.382 0.382 0.716
0.618 0.618 0.284
0.070 0.070 0.403
0.291 0.291 0.956
0.709 0.709 0.044
0.930 0.930 0.597
```

Properties
Raw total energy   -4.269 eV per atom


Which value of raw total energy does entry 1 give? -6.465 eV per atom


Copy entry 2 word for word.
Below is Er3Al2Ga4 after structural relaxation, with properties calculated at the PBE level.

POSCAR file:
```
Er3Al2Ga4
1.0
5.228 -2.210 0.000
5.228 2.210 0.000
-3.262 0.000 7.796
Er Al Ga
3 2 4
Direct
0.000 0.000 0.000
0.339 0.339 0.329
0.661 0.661 0.671
0.382 0.382 0.716
0.618 0.618 0.284
0.070 0.070 0.403
0.291 0.291 0.956
0.709 0.709 0.044
0.930 0.930 0.597
```

Properties
Raw total energy   -4.269 eV per atom


Please write out number 2 again, unchanged.
Below is Er3Al2Ga4 after structural relaxation, with properties calculated at the PBE level.

POSCAR file:
```
Er3Al2Ga4
1.0
5.228 -2.210 0.000
5.228 2.210 0.000
-3.262 0.000 7.796
Er Al Ga
3 2 4
Direct
0.000 0.000 0.000
0.339 0.339 0.329
0.661 0.661 0.671
0.382 0.382 0.716
0.618 0.618 0.284
0.070 0.070 0.403
0.291 0.291 0.956
0.709 0.709 0.044
0.930 0.930 0.597
```

Properties
Raw total energy   -4.269 eV per atom